No. 1
# Mo2SBr2

A relaxed Mo2SBr2 crystal (PBEsol, Alexandria via LeMat-Bulk).

It has space group Cmcm (No. 63), with a = 17.6315 Å, b = 6.5689 Å, c = 11.8180 Å, α = 90.00°, β = 90.00° and γ = 90.00°. The inequivalent atoms are Mo at (0.0000, 0.2418, 0.0614), Mo at (0.0749, 0.4158, 0.6030), S at (0.0000, 0.1179, 0.6308), S at (0.0000, 0.4076, 0.2500), Br at (0.1472, 0.2445, 0.0634) and Br at (0.1787, 0.2976, 0.7500).

As for the raw formation energy: -0.7362 eV per atom.


No. 2
# LiMg2Cd

A relaxed LiMg2Cd crystal (PBEsol, Alexandria via LeMat-Bulk).

It has space group Immm (No. 71), with a = 3.5497 Å, b = 4.7863 Å, c = 9.2570 Å, α = 90.00°, β = 90.00° and γ = 90.00°. The inequivalent atoms are Li at (0.0000, 0.0000, 0.0000), Mg at (0.0000, 0.5000, 0.2532) and Cd at (0.0000, 0.0000, 0.5000).

The value obtained for the formation energy is -43.4 kJ/mol of formula units. The calculation puts the density of states at the Fermi level at 2.51 states/eV/cell.


No. 3
# ZrTcTe

A relaxed ZrTcTe crystal (PBEsol, Alexandria via LeMat-Bulk).

It has space group P3m1 (No. 156), with a = 3.3053 Å, b = 3.3053 Å, c = 6.3789 Å, α = 90.00°, β = 90.00° and γ = 120.00°. The inequivalent atoms are Zr at (0.0000, 0.0000, 0.0000), Tc at (0.3333, 0.6667, 0.7107) and Te at (0.6667, 0.3333, 0.3821).

As for the raw formation energy: 0.0533 eV per atom. The calculation puts the density of states at the Fermi level at 2.67 states/eV/cell.